A relaxed ReTe2 crystal, computed with PBE-GGA.

The structure in POSCAR format:
```
ReTe2
1.0
-1.620 1.620 6.971
1.620 -1.620 6.971
1.620 1.620 -6.971
Re Te
1 2
Direct
0.000 0.000 0.000 Re
0.379 0.379 0.000 Te
0.621 0.621 0.000 Te
```

Properties
Its space group is I4/mmm. As for the raw formation energy: 333 meV per atom. The calculated total energy comes out at -17.73 eV/cell.



A relaxed GaPBr3 crystal, computed with PBE-GGA.

The structure in POSCAR format:
```
GaPBr3
1.0
5.259 0.000 0.000
0.000 5.259 0.000
0.000 0.000 5.259
Ga P Br
1 1 3
Direct
0.000 0.000 0.000 Ga
0.500 0.500 0.500 P
0.000 0.000 0.500 Br
0.000 0.500 0.000 Br
0.500 0.000 0.000 Br
```

Properties
Its space group is Pm-3m. For the energy above the most stable polymorph in this dataset, the calculation gives 1.98 eV/f.u. As for the raw formation energy: 287 meV per atom. The calculated total energy comes out at -12.02 eV/cell.



A relaxed Ca2ZnCr crystal, computed with PBE-GGA.

The structure in POSCAR format:
```
Ca2ZnCr
1.0
-2.312 2.312 4.717
2.312 -2.312 4.717
2.312 2.312 -4.717
Ca Zn Cr
2 1 1
Direct
0.000 0.000 0.000 Ca
0.750 0.250 0.500 Ca
0.500 0.500 0.000 Zn
0.250 0.750 0.500 Cr
```

Properties
Its space group is I-4m2. The calculated total energy comes out at -13.62 eV/cell. For the formation energy, the calculation gives 319 meV per atom.



A relaxed MgMnZnNi2 crystal, computed with PBE-GGA.

The structure in POSCAR format:
```
MgMnZnNi2
1.0
4.287 0.000 0.000
0.000 4.287 0.000
0.000 0.000 4.560
Mg Mn Zn Ni
1 1 1 2
Direct
0.000 0.000 0.000 Mg
0.500 0.500 0.500 Mn
0.500 0.500 0.000 Zn
0.000 0.500 0.500 Ni
0.500 0.000 0.500 Ni
```

Properties
Its space group is P4/mmm. The calculated total energy comes out at -19.97 eV/cell. For the formation energy, the calculation gives 726 meV per atom.



A relaxed CuAg2I2Br crystal, computed with PBE-GGA.

The structure in POSCAR format:
```
CuAg2I2Br
1.0
6.788 -3.864 0.000
6.788 3.864 0.000
0.000 0.000 7.250
Cu Ag I Br
2 4 4 2
Direct
0.150 0.850 0.500 Cu
0.850 0.150 0.000 Cu
0.166 0.516 0.988 Ag
0.484 0.834 0.988 Ag
0.516 0.166 0.488 Ag
0.834 0.484 0.488 Ag
0.164 0.527 0.383 I
0.473 0.836 0.383 I
0.527 0.164 0.883 I
0.836 0.473 0.883 I
0.141 0.859 0.848 Br
0.859 0.141 0.348 Br
```

Properties
Its space group is Cmc2_1. As for the raw formation energy: -241 meV per atom. The calculated total energy comes out at -32.04 eV/cell.



A relaxed CsSrAs2Cl crystal, computed with PBE-GGA.

The structure in POSCAR format:
```
CsSrAs2Cl
1.0
5.690 0.000 0.000
0.000 5.690 0.000
0.000 0.000 5.340
Cs Sr As Cl
1 1 2 1
Direct
0.000 0.000 0.000 Cs
0.500 0.500 0.000 Sr
0.000 0.500 0.500 As
0.500 0.000 0.500 As
0.500 0.500 0.500 Cl
```

Properties
Its space group is P4/mmm. As for the raw formation energy: -170 meV per atom. The calculated total energy comes out at -14.53 eV/cell.



A relaxed HfTi2H2 crystal, computed with PBE-GGA.

The structure in POSCAR format:
```
HfTi2H2
1.0
-1.663 1.663 5.521
1.663 -1.663 5.521
1.663 1.663 -5.521
Hf Ti H
1 2 2
Direct
0.000 0.000 0.000 Hf
0.334 0.334 0.000 Ti
0.666 0.666 0.000 Ti
0.250 0.750 0.500 H
0.750 0.250 0.500 H
```

Properties
Its space group is I4/mmm. For the energy above the most stable polymorph in this dataset, the calculation gives 0.09 eV/f.u. The calculated total energy comes out at -33.45 eV/cell.